1.
# Sb2RuBr GGA-PBE relaxed
data_Sb2RuBr
_chemical_formula_sum 'Sb8 Ru4 Br4'
_symmetry_space_group_name_H-M 'F -4 3 m'
_symmetry_Int_Tables_number 216
_symmetry_space_group_name_Hall 'F -4 2 3'
_cell_length_a 7.039
_cell_length_b 7.039
_cell_length_c 7.039
_cell_angle_alpha 90.00
_cell_angle_beta 90.00
_cell_angle_gamma 90.00
loop_
_atom_site_label
_atom_site_type_symbol
_atom_site_fract_x
_atom_site_fract_y
_atom_site_fract_z
Sb1 Sb 0.000 0.000 0.000
Sb2 Sb 0.250 0.250 0.250
Ru1 Ru 0.000 0.000 0.500
Br1 Br 0.250 0.250 0.750
# - calculated volume (Å³/atom) = 21.80
# - energy relative to the elements, uncorrected (eV/atom) = 0.6240
# - DFT total energy (eV per atom) = -4.1744



2.
# SbRu2Br GGA-PBE relaxed
data_SbRu2Br
_chemical_formula_sum 'Sb2 Ru4 Br2'
_symmetry_space_group_name_H-M 'I -4 m 2'
_symmetry_Int_Tables_number 119
_symmetry_space_group_name_Hall 'I -4 -2'
_cell_length_a 3.850
_cell_length_b 3.850
_cell_length_c 9.505
_cell_angle_alpha 90.00
_cell_angle_beta 90.00
_cell_angle_gamma 90.00
loop_
_atom_site_label
_atom_site_type_symbol
_atom_site_fract_x
_atom_site_fract_y
_atom_site_fract_z
Sb1 Sb 0.000 0.000 0.000
Ru1 Ru 0.000 0.000 0.500
Ru2 Ru 0.000 0.500 0.250
Br1 Br 0.000 0.500 0.750
# - calculated volume (Å³/atom) = 17.61
# - energy relative to the elements, uncorrected (eV/atom) = 0.7979
# - DFT total energy (eV per atom) = -5.2888



3.
# Sb2RuBr GGA-PBE relaxed
data_Sb2RuBr
_chemical_formula_sum 'Sb4 Ru2 Br2'
_symmetry_space_group_name_H-M 'C 1 2/m 1'
_symmetry_Int_Tables_number 12
_cell_length_a 7.911
_cell_length_b 7.721
_cell_length_c 3.235
_cell_angle_alpha 90.00
_cell_angle_beta 107.80
_cell_angle_gamma 90.00
loop_
_symmetry_equiv_pos_as_xyz
'x,y,z'
'-x,-y,-z'
'-x,y,-z'
'x,-y,z'
'x+1/2,y+1/2,z'
'-x+1/2,-y+1/2,-z'
'-x+1/2,y+1/2,-z'
'x+1/2,-y+1/2,z'
loop_
_atom_site_label
_atom_site_type_symbol
_atom_site_fract_x
_atom_site_fract_y
_atom_site_fract_z
Sb1 Sb 0.250 0.250 0.000
Ru1 Ru 0.000 0.000 0.000
Br1 Br 0.000 0.500 0.000
# - calculated volume (Å³/atom) = 23.52
# - energy relative to the elements, uncorrected (eV/atom) = 0.4001
# - DFT total energy (eV per atom) = -4.3983



4.
# SbRuBr2 GGA-PBE relaxed
data_SbRuBr2
_chemical_formula_sum 'Sb4 Ru4 Br8'
_symmetry_space_group_name_H-M 'F m -3 m'
_symmetry_Int_Tables_number 225
_symmetry_space_group_name_Hall '-F 4 2 3'
_cell_length_a 7.064
_cell_length_b 7.064
_cell_length_c 7.064
_cell_angle_alpha 90.00
_cell_angle_beta 90.00
_cell_angle_gamma 90.00
loop_
_atom_site_label
_atom_site_type_symbol
_atom_site_fract_x
_atom_site_fract_y
_atom_site_fract_z
Sb1 Sb 0.000 0.000 0.000
Ru1 Ru 0.000 0.000 0.500
Br1 Br 0.250 0.250 0.250
# - calculated volume (Å³/atom) = 22.03
# - energy relative to the elements, uncorrected (eV/atom) = 0.7855
# - DFT total energy (eV per atom) = -3.4005



5.
# SbRu2Br GGA-PBE relaxed
data_SbRu2Br
_chemical_formula_sum 'Sb4 Ru8 Br4'
_symmetry_space_group_name_H-M 'F m -3 m'
_symmetry_Int_Tables_number 225
_symmetry_space_group_name_Hall '-F 4 2 3'
_cell_length_a 6.506
_cell_length_b 6.506
_cell_length_c 6.506
_cell_angle_alpha 90.00
_cell_angle_beta 90.00
_cell_angle_gamma 90.00
loop_
_atom_site_label
_atom_site_type_symbol
_atom_site_fract_x
_atom_site_fract_y
_atom_site_fract_z
Sb1 Sb 0.000 0.000 0.000
Ru1 Ru 0.250 0.250 0.250
Br1 Br 0.000 0.000 0.500
# - calculated volume (Å³/atom) = 17.21
# - energy relative to the elements, uncorrected (eV/atom) = 0.5935
# - DFT total energy (eV per atom) = -5.4932



6.
# SbRuBr2 GGA-PBE relaxed
data_SbRuBr2
_chemical_formula_sum 'Sb1 Ru1 Br2'
_symmetry_space_group_name_H-M 'P m m 2'
_symmetry_Int_Tables_number 25
_cell_length_a 3.629
_cell_length_b 3.764
_cell_length_c 7.873
_cell_angle_alpha 90.00
_cell_angle_beta 90.00
_cell_angle_gamma 90.00
loop_
_symmetry_equiv_pos_as_xyz
'x,y,z'
'-x,-y,z'
'-x,y,z'
'x,-y,z'
loop_
_atom_site_label
_atom_site_type_symbol
_atom_site_fract_x
_atom_site_fract_y
_atom_site_fract_z
Sb1 Sb 0.000 0.000 0.000
Ru1 Ru 0.500 0.500 0.900
Br1 Br 0.000 0.000 0.653
Br2 Br 0.500 0.500 0.239
# - calculated volume (Å³/atom) = 26.89
# - energy relative to the elements, uncorrected (eV/atom) = 0.2083
# - DFT total energy (eV per atom) = -3.9777



7.
# SbRuBr GGA-PBE relaxed
data_SbRuBr
_chemical_formula_sum 'Sb1 Ru1 Br1'
_symmetry_space_group_name_H-M 'P 3 m 1'
_symmetry_Int_Tables_number 156
_cell_length_a 4.0043
_cell_length_b 4.0043
_cell_length_c 5.7675
_cell_angle_alpha 90.00
_cell_angle_beta 90.00
_cell_angle_gamma 120.00
loop_
_symmetry_equiv_pos_as_xyz
'x,y,z'
'-y,x-y,z'
'-x+y,-x,z'
'-y,-x,z'
'-x+y,y,z'
'x,x-y,z'
loop_
_atom_site_label
_atom_site_type_symbol
_atom_site_fract_x
_atom_site_fract_y
_atom_site_fract_z
Sb1 Sb 0.0000 0.0000 0.0000
Ru1 Ru 0.3333 0.6667 0.8268
Br1 Br 0.6667 0.3333 0.5477
# - calculated volume (Å³/atom) = 26.70
# - energy relative to the elements, uncorrected (eV/atom) = 0.0969
# - DFT total energy (eV per atom) = -4.9268



8.
# SbRuBr2 GGA-PBE relaxed
data_SbRuBr2
_chemical_formula_sum 'Sb3 Ru3 Br6'
_symmetry_space_group_name_H-M 'R -3 m'
_symmetry_Int_Tables_number 166
_symmetry_space_group_name_Hall '-R 3 2"'
_cell_length_a 3.5870
_cell_length_b 3.5870
_cell_length_c 32.2847
_cell_angle_alpha 90.00
_cell_angle_beta 90.00
_cell_angle_gamma 120.00
loop_
_atom_site_label
_atom_site_type_symbol
_atom_site_fract_x
_atom_site_fract_y
_atom_site_fract_z
Sb1 Sb 0.0000 0.0000 0.0000
Ru1 Ru 0.0000 0.0000 0.5000
Br1 Br 0.0000 0.0000 0.1224
# - calculated volume (Å³/atom) = 29.98
# - energy relative to the elements, uncorrected (eV/atom) = 0.2769
# - DFT total energy (eV per atom) = -3.9091



9.
# SbRuBr GGA-PBE relaxed
data_SbRuBr
_chemical_formula_sum 'Sb2 Ru2 Br2'
_symmetry_space_group_name_H-M 'P 1 21/m 1'
_symmetry_Int_Tables_number 11
_cell_length_a 5.311
_cell_length_b 3.783
_cell_length_c 7.662
_cell_angle_alpha 90.00
_cell_angle_beta 95.27
_cell_angle_gamma 90.00
loop_
_symmetry_equiv_pos_as_xyz
'x,y,z'
'-x,-y,-z'
'-x,y+1/2,-z'
'x,-y+1/2,z'
loop_
_atom_site_label
_atom_site_type_symbol
_atom_site_fract_x
_atom_site_fract_y
_atom_site_fract_z
Sb1 Sb 0.192 0.250 0.107
Ru1 Ru 0.328 0.750 0.886
Br1 Br 0.265 0.250 0.654
# - calculated volume (Å³/atom) = 25.54
# - energy relative to the elements, uncorrected (eV/atom) = -0.1146
# - DFT total energy (eV per atom) = -5.1383



10.
# SbRuBr2 GGA-PBE relaxed
data_SbRuBr2
_chemical_formula_sum 'Sb2 Ru2 Br4'
_symmetry_space_group_name_H-M 'I -4 m 2'
_symmetry_Int_Tables_number 119
_symmetry_space_group_name_Hall 'I -4 -2'
_cell_length_a 4.810
_cell_length_b 4.810
_cell_length_c 7.465
_cell_angle_alpha 90.00
_cell_angle_beta 90.00
_cell_angle_gamma 90.00
loop_
_atom_site_label
_atom_site_type_symbol
_atom_site_fract_x
_atom_site_fract_y
_atom_site_fract_z
Sb1 Sb 0.000 0.000 0.000
Ru1 Ru 0.000 0.500 0.250
Br1 Br 0.000 0.000 0.500
Br2 Br 0.000 0.500 0.750
# - calculated volume (Å³/atom) = 21.59
# - energy relative to the elements, uncorrected (eV/atom) = 0.6866
# - DFT total energy (eV per atom) = -3.4994



11.
# SbRu2Br GGA-PBE relaxed
data_SbRu2Br
_chemical_formula_sum 'Sb4 Ru8 Br4'
_symmetry_space_group_name_H-M 'F -4 3 m'
_symmetry_Int_Tables_number 216
_symmetry_space_group_name_Hall 'F -4 2 3'
_cell_length_a 6.625
_cell_length_b 6.625
_cell_length_c 6.625
_cell_angle_alpha 90.00
_cell_angle_beta 90.00
_cell_angle_gamma 90.00
loop_
_atom_site_label
_atom_site_type_symbol
_atom_site_fract_x
_atom_site_fract_y
_atom_site_fract_z
Sb1 Sb 0.000 0.000 0.000
Ru1 Ru 0.000 0.000 0.500
Ru2 Ru 0.250 0.250 0.750
Br1 Br 0.250 0.250 0.250
# - calculated volume (Å³/atom) = 18.18
# - energy relative to the elements, uncorrected (eV/atom) = 0.9608
# - DFT total energy (eV per atom) = -5.1259



12.
# SbRuBr2 GGA-PBE relaxed
data_SbRuBr2
_chemical_formula_sum 'Sb4 Ru4 Br8'
_symmetry_space_group_name_H-M 'F m m m'
_symmetry_Int_Tables_number 69
_symmetry_space_group_name_Hall '-F 2 2'
_cell_length_a 5.850
_cell_length_b 6.677
_cell_length_c 9.267
_cell_angle_alpha 90.00
_cell_angle_beta 90.00
_cell_angle_gamma 90.00
loop_
_atom_site_label
_atom_site_type_symbol
_atom_site_fract_x
_atom_site_fract_y
_atom_site_fract_z
Sb1 Sb 0.000 0.000 0.000
Ru1 Ru 0.000 0.000 0.500
Br1 Br 0.000 0.250 0.250
# - calculated volume (Å³/atom) = 22.62
# - energy relative to the elements, uncorrected (eV/atom) = 0.6046
# - DFT total energy (eV per atom) = -3.5814



13.
# SbRu2Br GGA-PBE relaxed
data_SbRu2Br
_chemical_formula_sum 'Sb1 Ru2 Br1'
_symmetry_space_group_name_H-M 'P m m m'
_symmetry_Int_Tables_number 47
_cell_length_a 3.050
_cell_length_b 4.331
_cell_length_c 5.505
_cell_angle_alpha 90.00
_cell_angle_beta 90.00
_cell_angle_gamma 90.00
loop_
_symmetry_equiv_pos_as_xyz
'x,y,z'
'-x,-y,-z'
'-x,-y,z'
'x,y,-z'
'x,-y,-z'
'-x,y,z'
'-x,y,-z'
'x,-y,z'
loop_
_atom_site_label
_atom_site_type_symbol
_atom_site_fract_x
_atom_site_fract_y
_atom_site_fract_z
Sb1 Sb 0.000 0.000 0.000
Ru1 Ru 0.000 0.500 0.500
Ru2 Ru 0.500 0.500 0.000
Br1 Br 0.500 0.000 0.500
# - calculated volume (Å³/atom) = 18.18
# - energy relative to the elements, uncorrected (eV/atom) = 0.7359
# - DFT total energy (eV per atom) = -5.3508



14.
# Sb2RuBr GGA-PBE relaxed
data_Sb2RuBr
_chemical_formula_sum 'Sb4 Ru2 Br2'
_symmetry_space_group_name_H-M 'A m m 2'
_symmetry_Int_Tables_number 38
_cell_length_a 3.733
_cell_length_b 5.332
_cell_length_c 9.749
_cell_angle_alpha 90.00
_cell_angle_beta 90.00
_cell_angle_gamma 90.00
loop_
_symmetry_equiv_pos_as_xyz
'x,y,z'
'-x,-y,z'
'-x,y,z'
'x,-y,z'
'x,y+1/2,z+1/2'
'-x,-y+1/2,z+1/2'
'-x,y+1/2,z+1/2'
'x,-y+1/2,z+1/2'
loop_
_atom_site_label
_atom_site_type_symbol
_atom_site_fract_x
_atom_site_fract_y
_atom_site_fract_z
Sb1 Sb 0.000 0.000 0.000
Sb2 Sb 0.500 0.000 0.300
Ru1 Ru 0.500 0.000 0.819
Br1 Br 0.000 0.000 0.622
# - calculated volume (Å³/atom) = 24.26
# - energy relative to the elements, uncorrected (eV/atom) = 0.0668
# - DFT total energy (eV per atom) = -4.7316



15.
# SbRu2Br GGA-PBE relaxed
data_SbRu2Br
_chemical_formula_sum 'Sb1 Ru2 Br1'
_symmetry_space_group_name_H-M 'P 4/m m m'
_symmetry_Int_Tables_number 123
_symmetry_space_group_name_Hall '-P 4 2'
_cell_length_a 4.641
_cell_length_b 4.641
_cell_length_c 3.207
_cell_angle_alpha 90.00
_cell_angle_beta 90.00
_cell_angle_gamma 90.00
loop_
_atom_site_label
_atom_site_type_symbol
_atom_site_fract_x
_atom_site_fract_y
_atom_site_fract_z
Sb1 Sb 0.000 0.000 0.000
Ru1 Ru 0.000 0.500 0.500
Br1 Br 0.500 0.500 0.000
# - calculated volume (Å³/atom) = 17.27
# - energy relative to the elements, uncorrected (eV/atom) = 0.6290
# - DFT total energy (eV per atom) = -5.4578



Total moment? In order: 0.00, 0.00, 0.00, 1.62, 0.00, 1.04, 0.00, 0.00, 0.00, 1.02, 0.81, 0.00, 0.00, 0.00, 0.99 μB/f.u..